Entry from Alexandria: a relaxed structure of Tm2TlGe2Rh5 (PBE-GGA).

Computed properties:
- Total magnetization: 0.00 μB per formula unit
- VASP energy: -6.469 eV/atom
- Volume: 17.43 A^3/atom

Cell lengths 3.6327, 9.7949, 9.7949 Å; angles 90.00, 90.00, 90.00 degrees
Atoms (fractional coordinates):
1 Rh 0.5000 0.4299 0.2867
2 Rh 0.5000 0.2133 0.0701
3 Rh 0.5000 0.7133 0.4299
4 Rh 0.5000 0.2867 0.5701
5 Rh 0.5000 0.9299 0.2133
6 Rh 0.5000 0.0000 0.5000
7 Rh 0.5000 0.7867 0.9299
8 Rh 0.5000 0.5701 0.7133
9 Rh 0.5000 0.0701 0.7867
10 Rh 0.5000 0.5000 0.0000
11 Ge 0.0000 0.8769 0.3769
12 Ge 0.0000 0.6231 0.8769
13 Ge 0.0000 0.3769 0.1231
14 Ge 0.0000 0.1231 0.6231
15 Tm 0.0000 0.8255 0.6745
16 Tm 0.0000 0.3255 0.8255
17 Tm 0.0000 0.6745 0.1745
18 Tm 0.0000 0.1745 0.3255
19 Tl 0.0000 0.5000 0.5000
20 Tl 0.0000 0.0000 0.0000

***

Entry from Alexandria: a relaxed structure of TlGeRhW2 (PBE-GGA).

Computed properties:
- Total magnetization: 1.91 μB per formula unit
- VASP energy: -6.353 eV/atom
- Volume: 23.36 A^3/atom

Cell lengths 4.8123, 5.0444, 4.8123 Å; angles 90.00, 90.00, 90.00 degrees
Each line ends with the local moment (μB).
Atoms (fractional coordinates):
1 Ge 0.5000 0.5000 0.5000  -0.07
2 Tl 0.0000 0.5000 0.0000  -0.02
3 Rh 0.0000 0.0000 0.0000  -0.04
4 W 0.0000 0.0000 0.5000  0.82
5 W 0.5000 0.0000 0.0000  0.88

***

Entry from Alexandria: a relaxed structure of Y2TlGe2Rh5 (PBE-GGA).

Computed properties:
- Total magnetization: 0.00 μB per formula unit
- VASP energy: -6.849 eV/atom
- Volume: 17.76 A^3/atom

Cell lengths 3.6403, 9.8784, 9.8784 Å; angles 90.00, 90.00, 90.00 degrees
Atoms (fractional coordinates):
1 Rh 0.5000 0.9309 0.2144
2 Rh 0.5000 0.5000 0.0000
3 Rh 0.5000 0.2144 0.0691
4 Rh 0.5000 0.4309 0.2856
5 Rh 0.5000 0.7144 0.4309
6 Rh 0.5000 0.5691 0.7144
7 Rh 0.5000 0.7856 0.9309
8 Rh 0.5000 0.0000 0.5000
9 Rh 0.5000 0.2856 0.5691
10 Rh 0.5000 0.0691 0.7856
11 Y 0.0000 0.1750 0.3250
12 Y 0.0000 0.3250 0.8250
13 Y 0.0000 0.6750 0.1750
14 Y 0.0000 0.8250 0.6750
15 Ge 0.0000 0.3775 0.1225
16 Ge 0.0000 0.1225 0.6225
17 Ge 0.0000 0.8775 0.3775
18 Ge 0.0000 0.6225 0.8775
19 Tl 0.0000 0.5000 0.5000
20 Tl 0.0000 0.0000 0.0000

***

Entry from Alexandria: a relaxed structure of Tm3Ge5Rh6 (PBE-GGA).

Computed properties:
- Total magnetization: 0.00 μB per formula unit
- VASP energy: -6.641 eV/atom
- Volume: 17.45 A^3/atom

Cell lengths 4.0520, 9.4912, 12.7063 Å; angles 90.00, 90.00, 90.00 degrees
Atoms (fractional coordinates):
1 Tm 0.0000 0.2547 0.0000
2 Tm 0.0000 0.2483 0.6710
3 Tm 0.5000 0.7453 0.5000
4 Tm 0.0000 0.2483 0.3290
5 Tm 0.5000 0.7517 0.8290
6 Tm 0.5000 0.7517 0.1710
7 Ge 0.0000 0.8507 0.3329
8 Ge 0.0000 0.5230 0.8818
9 Ge 0.5000 0.1493 0.8329
10 Ge 0.5000 0.4770 0.6182
11 Ge 0.0000 0.5230 0.1182
12 Ge 0.5000 0.1493 0.1671
13 Ge 0.5000 0.4770 0.3818
14 Ge 0.0000 0.8529 0.0000
15 Ge 0.5000 0.1471 0.5000
16 Ge 0.0000 0.8507 0.6671
17 Rh 0.5000 0.0004 0.6655
18 Rh 0.0000 0.4795 0.5000
19 Rh 0.5000 0.0004 0.3345
20 Rh 0.0000 0.9996 0.8345
21 Rh 0.5000 0.0090 0.0000
22 Rh 0.0000 0.5963 0.6993
23 Rh 0.5000 0.5205 0.0000
24 Rh 0.0000 0.9996 0.1655
25 Rh 0.0000 0.9910 0.5000
26 Rh 0.5000 0.4037 0.8007
27 Rh 0.0000 0.5963 0.3007
28 Rh 0.5000 0.4037 0.1993